Compound: Ag2Pt
Source: Alexandria via LeMat-Bulk
Functional: GGA-PBEsol
Structure: optimized geometry

a = 2.807 Å, b = 6.932 Å, c = 9.792 Å
α = 90.19°, β = 90.00°, γ = 90.00°
Element x y z (fractional)
Ag  0.250  0.340  0.289
Ag  0.750  0.004  0.373
Ag  0.250  0.669  0.453
Ag  0.750  0.331  0.547
Ag  0.250  0.996  0.627
Ag  0.750  0.660  0.711
Ag  0.750  0.993  0.876
Ag  0.250  0.007  0.124
Pt  0.250  0.327  0.797
Pt  0.250  0.661  0.962
Pt  0.750  0.339  0.038
Pt  0.750  0.673  0.203

Raw total energy = -4.528 eV per atom
Distance to the lowest polymorph of the same formula = 8 meV per atom
SG = P2_1/m
Calculated formation energy = 0.000 eV/atom